Crystalline Sn3SbOs at its relaxed geometry, computed with GGA-PBE.

Lattice parameters (Å, degrees): 5.173 5.173 5.173 90.00 90.00 90.00
Sites, in units of the cell vectors:
Sb 0.500 0.500 0.500
Os 0.000 0.000 0.000
Sn 0.000 0.500 0.000
Sn 0.000 0.000 0.500
Sn 0.500 0.000 0.000

The formation energy from raw total energies is 0.281 eV per atom. For the raw total energy, the calculation gives -5.191 eV/atom. The energy above the most stable polymorph in this dataset comes out at 0.000 eV per atom. The total magnetization is 0.00 μB per atom.

=====

Crystalline GaGe2Te at its relaxed geometry, computed with GGA-PBE.

Lattice parameters (Å, degrees): 6.124 6.124 7.546 66.06 66.06 90.00
Sites, in units of the cell vectors:
Ge 0.580 0.125 0.250
Ge 0.170 0.625 0.250
Ge 0.375 0.420 0.750
Ge 0.875 0.830 0.750
Te 0.000 0.000 0.000
Te 0.750 0.250 0.500
Ga 0.500 0.500 0.000
Ga 0.250 0.750 0.500

The formation energy from raw total energies is 0.153 eV per atom. For the raw total energy, the calculation gives -3.698 eV/atom. The energy above the most stable polymorph in this dataset comes out at 0.000 eV per atom. The total magnetization is 0.00 μB per atom.

=====

Crystalline TbPuAu at its relaxed geometry, computed with GGA-PBE.

Lattice parameters (Å, degrees): 3.457 5.007 5.007 120.00 90.00 90.00
Last column: magnetic moment on the atom in μB.
Sites, in units of the cell vectors:
Tb 0.298 0.333 0.667  0.17
Au 0.999 0.000 0.000  0.02
Pu 0.703 0.667 0.333  5.46

The formation enthalpy at 0 K comes out at -0.21 eV per atom. For the raw total energy, the calculation gives -7.621 eV/atom. The energy above the most stable polymorph in this dataset comes out at 0.119 eV per atom. The total magnetization is 1.98 μB per atom.

=====

Crystalline MnFe4 at its relaxed geometry, computed with GGA-PBE.

Lattice parameters (Å, degrees): 3.516 4.360 4.360 99.36 113.78 66.22
Last column: magnetic moment on the atom in μB.
Sites, in units of the cell vectors:
Fe 0.199 0.197 0.594  1.82
Fe 0.604 0.594 0.803  1.82
Fe 0.801 0.803 0.406  1.82
Fe 0.396 0.406 0.197  1.82
Mn 0.000 0.000 0.000  -2.38

The formation enthalpy at 0 K comes out at 0.10 eV per atom. For the raw total energy, the calculation gives -8.506 eV/atom. The energy above the most stable polymorph in this dataset comes out at 0.066 eV per atom. The total magnetization is 0.96 μB per atom.

=====

Crystalline Ho3Cd3Rh at its relaxed geometry, computed with GGA-PBE.

Lattice parameters (Å, degrees): 9.946 9.946 9.946 60.00 60.00 60.00
Sites, in units of the cell vectors:
Ho 0.044 0.456 0.044
Ho 0.206 0.206 0.794
Ho 0.794 0.794 0.206
Ho 0.794 0.206 0.794
Ho 0.794 0.206 0.206
Ho 0.206 0.794 0.794
Ho 0.456 0.044 0.044
Ho 0.044 0.044 0.456
Ho 0.456 0.456 0.044
Ho 0.044 0.456 0.456
Ho 0.206 0.794 0.206
Ho 0.456 0.044 0.456
Cd 0.834 0.834 0.834
Cd 0.416 0.416 0.752
Cd 0.416 0.752 0.416
Cd 0.752 0.416 0.416
Cd 0.834 0.498 0.834
Cd 0.498 0.834 0.834
Cd 0.834 0.834 0.498
Cd 0.416 0.416 0.416
Cd 0.625 0.625 0.625
Cd 0.625 0.625 0.125
Cd 0.625 0.125 0.625
Cd 0.125 0.625 0.625
Rh 0.125 0.125 0.125
Rh 0.125 0.125 0.625
Rh 0.125 0.625 0.125
Rh 0.625 0.125 0.125

The formation enthalpy at 0 K comes out at -0.46 eV per atom. For the raw total energy, the calculation gives -3.861 eV/atom. The total magnetization is 0.00 μB per atom.

=====

Crystalline AlPW at its relaxed geometry, computed with GGA-PBE.

Lattice parameters (Å, degrees): 4.065 4.065 4.065 60.00 60.00 60.00
Sites, in units of the cell vectors:
P 0.250 0.250 0.250
Al 0.500 0.500 0.500
W 0.000 0.000 0.000

The formation enthalpy at 0 K comes out at 0.18 eV per atom. For the raw total energy, the calculation gives -7.186 eV/atom. The total magnetization is 0.00 μB per atom.

=====

Crystalline PmHo2AlN at its relaxed geometry, computed with GGA-PBE.

Lattice parameters (Å, degrees): 4.941 4.756 4.756 90.00 90.00 90.00
Sites, in units of the cell vectors:
Pm 0.500 0.000 0.000
Ho 0.000 0.000 0.500
Ho 0.000 0.500 0.000
Al 0.500 0.500 0.500
N 0.000 0.000 0.000

The formation energy from raw total energies is -0.878 eV per atom. For the raw total energy, the calculation gives -6.072 eV/atom. The total magnetization is 0.00 μB per atom.

=====

Crystalline TiRh3N at its relaxed geometry, computed with GGA-PBE.

Lattice parameters (Å, degrees): 4.550 4.550 4.550 90.00 90.00 90.00
Last column: magnetic moment on the atom in μB.
Sites, in units of the cell vectors:
N 0.500 0.500 0.500  1.16
Rh 0.000 0.500 0.000  0.59
Rh 0.000 0.000 0.500  0.43
Rh 0.500 0.000 0.000  0.42
Ti 0.000 0.000 0.000  -0.22

The formation energy from raw total energies is 1.850 eV per atom. For the raw total energy, the calculation gives -5.805 eV/atom. The energy above the most stable polymorph in this dataset comes out at 1.949 eV per atom. The total magnetization is 0.53 μB per atom.

=====

Crystalline Ga2AgIrCl at its relaxed geometry, computed with GGA-PBE.

Lattice parameters (Å, degrees): 5.006 5.142 5.006 90.00 90.00 90.00
Last column: magnetic moment on the atom in μB.
Sites, in units of the cell vectors:
Ir 0.000 0.500 0.000  1.54
Ga 0.000 0.000 0.500  -0.02
Ga 0.500 0.000 0.000  -0.01
Ag 0.000 0.000 0.000  -0.01
Cl 0.500 0.500 0.500  0.12

The formation energy from raw total energies is 0.866 eV per atom. For the raw total energy, the calculation gives -3.056 eV/atom. The total magnetization is 0.35 μB per atom.

=====

Crystalline CoTcOs2 at its relaxed geometry, computed with GGA-PBE.

Lattice parameters (Å, degrees): 2.651 2.651 8.956 90.00 90.00 116.65
Last column: magnetic moment on the atom in μB.
Sites, in units of the cell vectors:
Co 0.500 0.500 0.749  1.67
Os 0.000 0.000 0.991  0.37
Os 0.500 0.500 0.252  0.06
Tc 0.000 0.000 0.508  0.17

The formation enthalpy at 0 K comes out at 0.51 eV per atom. For the raw total energy, the calculation gives -9.472 eV/atom. The energy above the most stable polymorph in this dataset comes out at 0.410 eV per atom. The total magnetization is 0.56 μB per atom.

=====

Crystalline InFe2WCl at its relaxed geometry, computed with GGA-PBE.

Lattice parameters (Å, degrees): 4.496 5.504 4.496 90.00 90.00 90.00
Last column: magnetic moment on the atom in μB.
Sites, in units of the cell vectors:
Cl 0.500 0.500 0.500  0.04
Fe 0.000 0.000 0.500  2.11
Fe 0.500 0.000 0.000  1.81
W 0.000 0.000 0.000  -0.37
In 0.000 0.500 0.000  0.01

The formation energy from raw total energies is 1.264 eV per atom. For the raw total energy, the calculation gives -5.629 eV/atom. The total magnetization is 0.75 μB per atom.

=====

Crystalline Li7Mg4Hg at its relaxed geometry, computed with GGA-PBE.

Lattice parameters (Å, degrees): 4.794 4.794 11.689 90.00 90.00 120.00
Sites, in units of the cell vectors:
Li 0.000 0.000 0.000
Li 0.333 0.667 0.421
Li 0.667 0.333 0.579
Li 0.333 0.667 0.175
Li 0.667 0.333 0.825
Li 0.000 0.000 0.747
Li 0.000 0.000 0.253
Mg 0.333 0.667 0.921
Mg 0.667 0.333 0.079
Mg 0.333 0.667 0.658
Mg 0.667 0.333 0.342
Hg 0.000 0.000 0.500

The formation enthalpy at 0 K comes out at -0.11 eV per atom. For the raw total energy, the calculation gives -1.785 eV/atom. The total magnetization is 0.00 μB per atom.

=====

Crystalline K4BaTc at its relaxed geometry, computed with GGA-PBE.

Lattice parameters (Å, degrees): 7.652 7.652 7.652 60.00 60.00 60.00
Last column: magnetic moment on the atom in μB.
Sites, in units of the cell vectors:
K 0.870 0.377 0.377  -0.01
K 0.377 0.377 0.870  -0.01
K 0.377 0.870 0.377  -0.01
K 0.377 0.377 0.377  -0.01
Ba 0.000 0.000 0.000  -0.10
Tc 0.750 0.750 0.750  3.32

The formation enthalpy at 0 K comes out at 0.96 eV per atom. For the raw total energy, the calculation gives -1.817 eV/atom. The total magnetization is 0.54 μB per atom.

=====

Crystalline KAl4Zn2 at its relaxed geometry, computed with GGA-PBE.

Lattice parameters (Å, degrees): 4.228 4.302 8.087 105.43 90.00 90.00
Sites, in units of the cell vectors:
Zn 0.500 0.585 0.171
Zn 0.500 0.415 0.829
K 0.000 0.000 0.000
Al 0.500 0.812 0.624
Al 0.000 0.691 0.383
Al 0.500 0.188 0.376
Al 0.000 0.309 0.617

The formation enthalpy at 0 K comes out at 0.02 eV per atom. For the raw total energy, the calculation gives -2.641 eV/atom. The total magnetization is 0.00 μB per atom.

=====

Crystalline InAgTe2 at its relaxed geometry, computed with GGA-PBE.

Lattice parameters (Å, degrees): 3.363 3.363 9.950 90.00 90.00 102.30
Sites, in units of the cell vectors:
Te 0.000 0.000 0.033
Te 0.000 0.000 0.467
Ag 0.500 0.500 0.250
In 0.500 0.500 0.750

The formation energy from raw total energies is 0.085 eV per atom. For the raw total energy, the calculation gives -2.884 eV/atom. The total magnetization is 0.00 μB per atom.

=====

Crystalline Ac7Si2Pb2 at its relaxed geometry, computed with GGA-PBE.

Lattice parameters (Å, degrees): 7.611 7.609 7.611 90.00 104.87 90.00
Sites, in units of the cell vectors:
Ac 0.000 0.267 0.500
Ac 0.500 0.733 0.000
Ac 0.000 0.733 0.500
Ac 0.500 0.267 0.000
Ac 0.000 0.000 0.000
Ac 0.500 0.761 0.500
Ac 0.500 0.239 0.500
Si 0.729 0.000 0.271
Si 0.271 0.000 0.729
Pb 0.822 0.500 0.822
Pb 0.178 0.500 0.178

The formation energy from raw total energies is -0.256 eV per atom. For the raw total energy, the calculation gives -4.530 eV/atom. The total magnetization is 0.00 μB per atom.

=====

Crystalline VCrP at its relaxed geometry, computed with GGA-PBE.

Lattice parameters (Å, degrees): 2.946 4.326 6.397 100.76 90.00 109.91
Sites, in units of the cell vectors:
V 0.848 0.696 0.879
V 0.152 0.304 0.121
Cr 0.634 0.268 0.454
Cr 0.366 0.732 0.546
P 0.894 0.788 0.259
P 0.106 0.212 0.741

The formation enthalpy at 0 K comes out at -0.36 eV per atom. For the raw total energy, the calculation gives -8.415 eV/atom. The total magnetization is 0.00 μB per atom.

=====

Crystalline ZnBIr2 at its relaxed geometry, computed with GGA-PBE.

Lattice parameters (Å, degrees): 4.098 4.098 4.098 60.00 60.00 60.00
Sites, in units of the cell vectors:
Zn 0.500 0.500 0.500
Ir 0.250 0.250 0.250
Ir 0.750 0.750 0.750
B 0.000 0.000 0.000

The formation enthalpy at 0 K comes out at 0.20 eV per atom. For the raw total energy, the calculation gives -6.217 eV/atom. The energy above the most stable polymorph in this dataset comes out at 0.464 eV per atom. The total magnetization is 0.00 μB per atom.

=====

Crystalline Sr2PuAs2 at its relaxed geometry, computed with GGA-PBE.

Lattice parameters (Å, degrees): 6.198 8.119 8.087 120.13 112.53 90.00
Last column: magnetic moment on the atom in μB.
Sites, in units of the cell vectors:
Sr 0.853 0.708 0.706  0.02
Sr 0.147 0.292 0.294  0.02
Sr 0.647 0.002 0.294  0.02
Sr 0.353 0.998 0.706  0.02
Pu 0.750 0.500 0.000  5.62
Pu 0.250 0.500 0.000  5.62
As 0.386 0.640 0.772  -0.06
As 0.614 0.360 0.228  -0.06
As 0.114 0.868 0.228  -0.06
As 0.886 0.132 0.772  -0.06

The formation enthalpy at 0 K comes out at -0.95 eV per atom. For the raw total energy, the calculation gives -6.351 eV/atom. The total magnetization is 1.20 μB per atom.

=====

Crystalline Nd8AgIr5 at its relaxed geometry, computed with GGA-PBE.

Lattice parameters (Å, degrees): 7.762 7.762 7.762 109.16 110.10 109.16
Sites, in units of the cell vectors:
Nd 0.117 0.756 0.006
Nd 0.994 0.111 0.750
Nd 0.735 0.246 0.368
Nd 0.632 0.367 0.877
Nd 0.511 0.633 0.265
Nd 0.639 0.889 0.883
Nd 0.250 0.244 0.361
Nd 0.123 0.754 0.489
Ag 0.250 0.500 0.750
Ir 0.010 0.379 0.123
Ir 0.877 0.886 0.255
Ir 0.745 0.621 0.631
Ir 0.500 0.000 0.500
Ir 0.369 0.114 0.990

The formation enthalpy at 0 K comes out at -0.55 eV per atom. For the raw total energy, the calculation gives -6.641 eV/atom. The total magnetization is 0.00 μB per atom.